! GGA-PBE TlCr2In, relaxed; values from VASP
! Symmetry: I-4m2 (119)
! Calculated formation energy: 14.354 kcal/mol of atoms
&SYSTEM
  ibrav = 0, nat = 4, ntyp = 3
/
ATOMIC_SPECIES
Cr 52.00 Cr.upf
In 114.82 In.upf
Tl 204.38 Tl.upf
CELL_PARAMETERS angstrom
-3.1317 -4.5272 -0.7225
1.9565 -4.7003 2.2145
-0.8369 5.1999 1.7568
ATOMIC_POSITIONS crystal
Cr 0.9999 0.9999 0.0000
Cr 0.7499 0.2499 0.5000
In 0.5001 0.5001 0.0000
Tl 0.2501 0.7501 0.5000



! GGA-PBE TlCr2In, relaxed; values from VASP
! Symmetry: P4/mmm (123)
! Calculated formation energy: 12.519 kcal/mol of atoms
&SYSTEM
  ibrav = 0, nat = 4, ntyp = 3
/
ATOMIC_SPECIES
Cr 52.00 Cr.upf
In 114.82 In.upf
Tl 204.38 Tl.upf
CELL_PARAMETERS angstrom
-1.6456 -2.7015 -0.0470
1.1077 -0.6245 -2.8968
6.0668 -3.7499 3.1282
ATOMIC_POSITIONS crystal
Cr 0.0000 0.0000 0.0075
Cr 0.0000 0.0000 0.4925
In 0.5000 0.5000 0.2500
Tl 0.5000 0.5000 0.7500



! GGA-PBE TlCr2In, relaxed; values from VASP
! Symmetry: Cm (8)
! Calculated formation energy: 13.982 kcal/mol of atoms
&SYSTEM
  ibrav = 0, nat = 4, ntyp = 3
/
ATOMIC_SPECIES
Cr 52.00 Cr.upf
In 114.82 In.upf
Tl 204.38 Tl.upf
CELL_PARAMETERS angstrom
-4.5649 -0.1891 -3.3342
-5.0127 -2.4010 -1.0485
-3.5551 2.7399 1.9550
ATOMIC_POSITIONS crystal
Cr 0.0008 0.0008 0.0791
Cr 0.7515 0.7515 0.6674
In 0.4959 0.4959 0.5857
Tl 0.2517 0.2517 0.1678



! GGA-PBE TlCr2In, relaxed; values from VASP
! Symmetry: C2/m (12)
! Calculated formation energy: 14.445 kcal/mol of atoms
&SYSTEM
  ibrav = 0, nat = 4, ntyp = 3
/
ATOMIC_SPECIES
Cr 52.00 Cr.upf
In 114.82 In.upf
Tl 204.38 Tl.upf
CELL_PARAMETERS angstrom
-2.2249 3.9880 -1.6284
-2.9748 3.5207 1.5035
3.7207 4.0034 1.4882
ATOMIC_POSITIONS crystal
Cr 0.0017 0.0017 0.9946
Cr 0.4983 0.4983 0.5054
In 0.7500 0.7500 0.7500
Tl 0.2500 0.2500 0.2500



Energy above the most stable polymorph in this dataset, respectively: 0.279; 0.200; 0.263; 0.283 eV per atom.